Compound: Cr3PbAu
Source: Alexandria
Functional: GGA-PBE
Structure: optimized geometry

Output
Space group: Pm-3m, No. 221
Theoretical density, Mg/m³: 7.2
ΔE_f, eV per atom: 1.117
ΔE to the lowest computed polymorph, meV/atom: 0
E_tot, eV/cell: -30.3

abc: 5.045 5.045 5.045
angles: 90.00 90.00 90.00
Each line ends with the local moment (μB).
Positions (direct):
Cr  0.500  0.000  0.000  3.82
Cr  0.000  0.000  0.500  3.90
Cr  0.000  0.500  0.000  3.82
Au  0.000  0.000  0.000  0.22
Pb  0.500  0.500  0.500  -0.12

---

Compound: Er2CBr2
Source: Alexandria
Functional: GGA-PBE
Structure: optimized geometry

Output
Space group: R-3m, No. 166
Theoretical density, Mg/m³: 6.6
E_tot, eV/cell: -27.7
Raw formation energy, eV per atom: -1.204

abc: 3.666 3.666 11.131
angles: 80.52 80.52 60.00
Positions (direct):
Br  0.102  0.102  0.694
Br  0.898  0.898  0.306
C  0.000  0.000  0.000
Er  0.626  0.626  0.123
Er  0.374  0.374  0.877

---

Compound: La2Ho3Cd4
Source: Alexandria
Functional: GGA-PBE
Structure: optimized geometry

Output
Space group: Cmce, No. 64
Theoretical density, Mg/m³: 7.6
ΔE_f, eV per atom: -0.179
E_tot, eV/cell: -57.7

abc: 6.911 8.325 9.869
angles: 90.00 110.49 90.00
Positions (direct):
Cd  0.664  0.511  0.329
Cd  0.675  0.750  0.851
Cd  0.336  0.489  0.671
Cd  0.825  0.250  0.149
Cd  0.175  0.750  0.851
Cd  0.164  0.989  0.329
Cd  0.325  0.250  0.149
Cd  0.836  0.011  0.671
La  0.593  0.900  0.186
La  0.907  0.400  0.814
La  0.407  0.100  0.814
La  0.093  0.600  0.186
Ho  0.004  0.750  0.508
Ho  0.496  0.250  0.492
Ho  0.996  0.250  0.492
Ho  0.500  0.500  0.000
Ho  0.000  0.000  0.000
Ho  0.504  0.750  0.508